Entry 1:
BaNiP2 | GGA-PBE | relaxed

Results
- calculated total energy (eV per atom) = -4.18
- DOS(E_F) (states/eV/f.u.) = 4.2

POSCAR file:
```
BaNiP2
1.0
5.213 0.000 0.000
0.000 5.213 0.000
0.000 0.000 3.180
P Ba Ni
2 1 1
Direct
0.500 0.500 0.000
0.000 0.000 0.000
0.500 0.000 0.500
0.000 0.500 0.500
```

***

Entry 2:
Y4IrPt | GGA-PBE | relaxed

Results
- calculated total energy (eV per atom) = -6.27
- DOS(E_F) (states/eV/f.u.) = 8.8
- energy relative to the lowest polymorph listed for this composition (eV/f.u.) = 7.67

POSCAR file:
```
Y4IrPt
1.0
0.000 4.133 4.133
4.133 0.000 4.133
4.133 4.133 0.000
Y Pt Ir
4 1 1
Direct
0.375 0.375 0.375
0.375 0.874 0.375
0.874 0.375 0.375
0.375 0.375 0.874
0.000 0.000 0.000
0.750 0.750 0.750
```

***

Entry 3:
NdNpFe4 | GGA-PBE | relaxed

Results
- calculated total energy (eV per atom) = -8.49
- DOS(E_F) (states/eV/f.u.) = 11.5

POSCAR file:
```
NdNpFe4
1.0
-0.978 -4.509 2.273
2.459 -4.246 -1.545
3.539 -2.171 3.036
Fe Nd Np
4 1 1
Direct
0.127 0.624 0.624
0.624 0.624 0.127
0.624 0.624 0.624
0.624 0.127 0.624
0.000 0.000 0.000
0.250 0.250 0.250
```

***

no.,total moment (μB per cell)
1,0.00
2,0.00
3,3.73